Entry 1:
## Co2RhS2 (PBE)

Data for a relaxed structure of Co2RhS2.

Results
**Crystal system**: tetragonal
**Polymorph energy (0 for the lowest one)**: 0 meV per atom
**Volume**: 12.2 A^3/atom
**Total magnetic moment**: 0.00 μB/cell

a b c (Å): 6.435 6.435 2.936
angles (deg): 90.00 90.00 90.00
Space group P4/mbm (No. 127)
Inequivalent atoms, fractional coordinates:
Co: 0.142 0.358 0.000
Rh: 0.000 0.000 0.500
S: 0.160 0.660 0.500

***

Entry 2:
## LiBTeI2 (PBE)

Data for a relaxed structure of LiBTeI2.

Results
**Crystal system**: tetragonal
**Polymorph energy (0 for the lowest one)**: 0 meV per atom
**Volume**: 27.2 A^3/atom
**Total magnetic moment**: 0.00 μB/cell

a b c (Å): 5.215 5.215 5.009
angles (deg): 90.00 90.00 90.00
Space group P4/mmm (No. 123)
Inequivalent atoms, fractional coordinates:
Li: 0.000 0.000 0.000
B: 0.500 0.500 0.500
Te: 0.500 0.500 0.000
I: 0.000 0.500 0.500

***

Entry 3:
## Ag8Pd3Au3 (PBE)

Data for a relaxed structure of Ag8Pd3Au3.

Results
**Crystal system**: orthorhombic
**Calculated formation energy**: 0.0696 eV/atom
**Volume**: 18.1 A^3/atom
**Total magnetic moment**: 0.00 μB/cell

a b c (Å): 4.683 8.371 12.933
angles (deg): 90.00 90.00 90.00
Space group Immm (No. 71)
Inequivalent atoms, fractional coordinates:
Ag: 0.000 0.161 0.215
Ag: 0.000 0.327 0.397
Pd: 0.000 0.000 0.500
Pd: 0.000 0.500 0.191
Au: 0.000 0.000 0.000
Au: 0.000 0.328 0.000

***

Entry 4:
## Na2SiSnHg (PBE)

Data for a relaxed structure of Na2SiSnHg.

Results
**Crystal system**: tetragonal
**Final energy**: -1.928 eV/atom
**Volume**: 31.9 A^3/atom
**Total magnetic moment**: 0.00 μB/cell

a b c (Å): 5.433 5.433 5.400
angles (deg): 90.00 90.00 90.00
Space group P4/mmm (No. 123)
Inequivalent atoms, fractional coordinates:
Na: 0.000 0.500 0.000
Si: 0.000 0.000 0.500
Sn: 0.500 0.500 0.500
Hg: 0.500 0.500 0.000

***

Entry 5:
## LuScCoRh (PBE)

Data for a relaxed structure of LuScCoRh.

Results
**Crystal system**: cubic
**Calculated formation energy**: -0.6369 eV/atom
**Volume**: 17.1 A^3/atom
**Total magnetic moment**: 0.01 μB/cell

a b c (Å): 6.491 6.491 6.491
angles (deg): 90.00 90.00 90.00
Space group F-43m (No. 216)
Inequivalent atoms, fractional coordinates:
Lu: 0.000 0.000 0.000
Sc: 0.000 0.000 0.500
Co: 0.250 0.250 0.750
Rh: 0.250 0.250 0.250

***

Entry 6:
## Tm4GaRu2 (PBE)

Data for a relaxed structure of Tm4GaRu2.

Results
**Crystal system**: triclinic
**Polymorph energy (0 for the lowest one)**: 7 meV per atom
**Calculated formation energy**: -0.4150 eV/atom
**Volume**: 22.0 A^3/atom
**Total magnetic moment**: 0.00 μB/cell

a b c (Å): 7.059 7.129 7.209
angles (deg): 106.41 105.90 106.30
Space group P1 (No. 1)
Inequivalent atoms, fractional coordinates:
Tm: 0.000 0.000 0.000
Tm: 0.035 0.193 0.596
Tm: 0.193 0.574 0.070
Tm: 0.231 0.771 0.682
Tm: 0.405 0.407 0.421
Tm: 0.593 0.074 0.202
Tm: 0.661 0.239 0.798
Tm: 0.768 0.641 0.277
Ga: 0.278 0.967 0.396
Ga: 0.586 0.658 0.869
Ru: 0.364 0.261 0.970
Ru: 0.596 0.842 0.546
Ru: 0.850 0.549 0.678
Ru: 0.981 0.374 0.290